1.
{
  "formula": "NaGdBr2",
  "functional": "PBE",
  "state": "optimized geometry",
  "cell": [[3.868, 0.000, 0.000], [1.934, 3.349, 0.000], [1.934, 1.116, 10.370]],
  "species": ["Br", "Br", "Gd", "Na"],
  "frac_coords": [[0.896, 0.896, 0.313], [0.104, 0.104, 0.687], [0.500, 0.500, 0.500], [0.000, 0.000, 0.000]],
  "sg": "R-3m (166)",
  "raw_formation_energy_ev_per_atom": -1.1869
}



2.
{
  "formula": "Na3GdBr6",
  "functional": "PBE",
  "state": "optimized geometry",
  "cell": [[-1.800, 3.225, 6.865], [-6.200, -3.909, 0.211], [-0.812, -11.898, 5.377]],
  "species": ["Br", "Br", "Br", "Na", "Br", "Na", "Br", "Br", "Br", "Br", "Br", "Br", "Br", "Na", "Na", "Gd", "Gd", "Na", "Na", "Br"],
  "frac_coords": [[0.194, 0.746, 0.084], [0.306, 0.746, 0.584], [0.069, 0.095, 0.261], [0.419, 0.293, 0.235], [0.931, 0.905, 0.739], [0.000, 0.500, 0.000], [0.181, 0.382, 0.436], [0.319, 0.382, 0.936], [0.569, 0.905, 0.239], [0.806, 0.254, 0.916], [0.681, 0.618, 0.064], [0.819, 0.618, 0.564], [0.694, 0.254, 0.416], [0.581, 0.707, 0.765], [0.081, 0.293, 0.735], [0.500, 0.000, 0.000], [0.000, 0.000, 0.500], [0.500, 0.500, 0.500], [0.919, 0.707, 0.265], [0.431, 0.095, 0.761]],
  "sg": "P2_1/c (14)",
  "polymorph_energy_mev_per_atom": 13,
  "raw_formation_energy_ev_per_atom": -1.6767
}



3.
{
  "formula": "Nd2GdBr",
  "functional": "PBE",
  "state": "optimized geometry",
  "cell": [[-2.229, 2.105, 2.120], [-2.989, -1.512, 1.636], [4.107, -2.170, 9.748]],
  "species": ["Gd", "Nd", "Nd", "Br"],
  "frac_coords": [[0.500, 0.500, 0.500], [0.258, 0.258, 0.227], [0.742, 0.742, 0.773], [0.000, 0.000, 0.000]],
  "sg": "R-3m (166)",
  "polymorph_energy_mev_per_atom": 0,
  "raw_formation_energy_ev_per_atom": -0.5510
}



4.
{
  "formula": "NdGdBr",
  "functional": "PBE",
  "state": "optimized geometry",
  "cell": [[-3.167, -1.475, -1.521], [3.310, -1.862, -0.314], [-1.404, -3.576, 6.390]],
  "species": ["Nd", "Gd", "Br"],
  "frac_coords": [[0.000, 0.000, 0.015], [0.333, 0.667, 0.646], [0.667, 0.333, 0.339]],
  "sg": "P3m1 (156)",
  "raw_formation_energy_ev_per_atom": -0.7653
}



5.
{
  "formula": "Nd2GdBr",
  "functional": "PBE",
  "state": "optimized geometry",
  "cell": [[-3.098, 1.805, -0.370], [-0.570, -0.251, 3.550], [4.722, 8.383, 1.349]],
  "species": ["Nd", "Br", "Gd", "Nd"],
  "frac_coords": [[0.000, 0.000, 0.766], [0.500, 0.500, 0.000], [0.500, 0.500, 0.500], [0.000, 0.000, 0.234]],
  "sg": "P4/mmm (123)",
  "polymorph_energy_mev_per_atom": 89,
  "raw_formation_energy_ev_per_atom": -0.4618
}



6.
{
  "formula": "Gd2NiBr",
  "functional": "PBE",
  "state": "optimized geometry",
  "cell": [[3.977, 0.000, 0.000], [1.988, 3.444, 0.000], [1.988, 1.148, 7.606]],
  "species": ["Ni", "Gd", "Br", "Gd"],
  "frac_coords": [[0.000, 0.000, 0.000], [0.731, 0.731, 0.807], [0.500, 0.500, 0.500], [0.269, 0.269, 0.193]],
  "sg": "R-3m (166)",
  "raw_formation_energy_ev_per_atom": -0.8367
}



7.
{
  "formula": "Gd3Si2BrO8",
  "functional": "PBE",
  "state": "optimized geometry",
  "cell": [[-8.742, 4.979, 2.321], [-3.822, 8.110, -5.119], [3.642, -9.603, -1.055]],
  "species": ["Gd", "O", "O", "O", "O", "O", "Si", "Gd", "O", "Si", "O", "Gd", "Gd", "Si", "O", "O", "O", "Gd", "O", "Br", "Gd", "O", "Br", "Si", "O", "O", "O", "O"],
  "frac_coords": [[0.021, 0.122, 0.643], [0.926, 0.143, 0.842], [0.582, 0.458, 0.228], [0.426, 0.585, 0.783], [0.026, 0.743, 0.703], [0.770, 0.542, 0.123], [0.404, 0.280, 0.884], [0.081, 0.458, 0.364], [0.082, 0.853, 0.123], [0.904, 0.020, 0.124], [0.526, 0.823, 0.283], [0.521, 0.878, 0.900], [0.406, 0.783, 0.364], [0.603, 0.720, 0.124], [0.192, 0.910, 0.751], [0.199, 0.415, 0.842], [0.699, 0.857, 0.783], [0.906, 0.542, 0.624], [0.460, 0.177, 0.703], [0.760, 0.484, 0.744], [0.581, 0.217, 0.624], [0.960, 0.257, 0.283], [0.260, 0.516, 0.276], [0.103, 0.980, 0.884], [0.840, 0.090, 0.281], [0.692, 0.941, 0.281], [0.270, 0.147, 0.228], [0.340, 0.059, 0.751]],
  "sg": "Ima2 (46)",
  "raw_formation_energy_ev_per_atom": -3.1150
}